(i)
Compound: ZrWSeN2
Source: the Alexandria database
Functional: meta-GGA SCAN
Structure: single point on PBEsol structure

Structure (POSCAR):
```
ZrWSeN2
1.0
-3.6364 -0.3989 1.3864
1.2520 -2.7403 2.4955
0.9083 3.5024 3.3903
Se Zr W N
1 1 1 2
direct
0.0000 0.0000 0.5000
0.5000 0.5000 0.5000
0.0000 0.0000 0.0000
0.0000 0.5000 0.0000
0.5000 0.0000 0.0000
```

Properties
- Symmetry: P4/mmm
- N(E_F): 2.51 states/eV/f.u.

***

(ii)
Compound: ZrWSeN2
Source: the Alexandria database
Functional: meta-GGA SCAN
Structure: single point on PBEsol structure

Structure (POSCAR):
```
ZrWSeN2
1.0
-3.0229 -0.8758 -2.5669
-2.4166 -0.8751 3.1445
-1.5975 5.0186 0.1690
Se Zr W N
1 1 1 2
direct
0.0000 0.0000 0.5000
0.0000 0.0000 0.0000
0.5000 0.5000 0.5000
0.0000 0.5000 0.0000
0.5000 0.0000 0.0000
```

Properties
- Symmetry: P4/mmm
- N(E_F): 2.74 states/eV/f.u.

***

Result of the stability comparison: (ii) is the least stable of them.

***

(i)
Compound: ZrSn3N
Source: the Alexandria database
Functional: meta-GGA SCAN
Structure: single point on PBEsol structure

Structure (POSCAR):
```
ZrSn3N
1.0
-2.1800 -4.0719 0.1894
3.2277 -1.8555 -2.7401
2.4897 -1.1599 3.7182
Sn Zr N
3 1 1
direct
0.0000 0.5000 0.0000
0.0000 0.0000 0.5000
0.5000 0.0000 0.0000
0.5000 0.5000 0.5000
0.0000 0.0000 0.0000
```

Properties
- Symmetry: Pm-3m
- N(E_F): 1.82 states/eV/f.u.

***

(ii)
Compound: ZrSn3N
Source: the Alexandria database
Functional: meta-GGA SCAN
Structure: single point on PBEsol structure

Structure (POSCAR):
```
ZrSn3N
1.0
-4.0932 -0.9953 -3.5153
3.0557 -3.8264 -2.4747
-2.0027 -3.8041 3.4089
Sn Zr N
3 1 1
direct
0.0000 0.5000 0.0000
0.0000 0.0000 0.5000
0.5000 0.0000 0.0000
0.0000 0.0000 0.0000
0.5000 0.5000 0.5000
```

Properties
- Symmetry: Pm-3m
- N(E_F): 1.89 states/eV/f.u.

***

Result of the stability comparison: (ii) is the least stable of them.

***

(i)
Compound: TlTe2N
Source: the Alexandria database
Functional: meta-GGA SCAN
Structure: single point on PBEsol structure

Structure (POSCAR):
```
TlTe2N
1.0
3.2884 0.0000 0.0000
1.6442 2.8478 0.0000
1.6442 0.9493 9.7303
Tl Te N
1 2 1
direct
0.0000 0.0000 0.0000
0.8879 0.8879 0.3362
0.1121 0.1121 0.6638
0.5000 0.5000 0.5000
```

Properties
- Symmetry: R-3m
- N(E_F): 1.67 states/eV/f.u.

***

(ii)
Compound: TlTe2N
Source: the Alexandria database
Functional: meta-GGA SCAN
Structure: single point on PBEsol structure

Structure (POSCAR):
```
TlTe2N
1.0
-4.2572 -1.0766 4.7279
3.5708 -5.1878 -1.4041
4.4521 4.3980 1.5723
Tl Te N
2 4 2
direct
0.0000 0.0000 0.0000
0.5000 0.7500 0.2500
0.8802 0.5052 0.1250
0.1198 0.2448 0.6250
0.6198 0.3750 0.4948
0.3802 0.8750 0.7552
0.0000 0.5000 0.5000
0.5000 0.2500 0.7500
```

Properties
- Symmetry: I-42d
- N(E_F): 1.11 states/eV/f.u.

***

Result of the stability comparison: (i) is the least stable of them.

***

(i)
Compound: Zr3ZnN
Source: the Alexandria database
Functional: meta-GGA SCAN
Structure: single point on PBEsol structure

Structure (POSCAR):
```
Zr3ZnN
1.0
4.4002 0.0000 0.0000
0.0000 4.4002 0.0000
0.0000 0.0000 4.4002
Zn Zr N
1 3 1
direct
0.5000 0.5000 0.5000
0.0000 0.5000 0.0000
0.0000 0.0000 0.5000
0.5000 0.0000 0.0000
0.0000 0.0000 0.0000
```

Properties
- Symmetry: Pm-3m
- N(E_F): 2.30 states/eV/f.u.

***

(ii)
Compound: Zr3ZnN
Source: the Alexandria database
Functional: meta-GGA SCAN
Structure: single point on PBEsol structure

Structure (POSCAR):
```
Zr3ZnN
1.0
-1.6971 2.8153 -0.4203
-3.2968 -3.4039 3.5776
4.0337 3.4809 7.0292
Zr Zn N
6 2 2
direct
0.3738 0.7476 0.5491
0.6262 0.2524 0.0491
0.6262 0.2524 0.4509
0.3738 0.7476 0.9509
0.0490 0.0980 0.7500
0.9510 0.9020 0.2500
0.7439 0.4879 0.7500
0.2561 0.5121 0.2500
0.0000 0.0000 0.5000
0.0000 0.0000 0.0000
```

Properties
- Symmetry: Cmcm
- N(E_F): 3.03 states/eV/f.u.

***

Result of the stability comparison: (i) is the least stable of them.

***

(i)
Compound: Na
Source: the Alexandria database
Functional: meta-GGA SCAN
Structure: single point on PBEsol structure

Structure (POSCAR):
```
Na
1.0
-2.0425 -2.7247 1.2059
1.0520 -0.6908 -3.3862
2.9068 0.3538 2.1155
Na
1
direct
0.0000 0.0000 0.0000
```

Properties
- Symmetry: Im-3m
- N(E_F): 0.45 states/eV/f.u.

***

(ii)
Compound: Na
Source: the Alexandria database
Functional: meta-GGA SCAN
Structure: single point on PBEsol structure

Structure (POSCAR):
```
Na
1.0
-3.2647 3.2165 2.6187
-3.4204 -1.9863 3.4954
0.7089 0.8484 5.1614
Na
2
direct
0.2500 0.2500 0.2500
0.0000 0.0000 0.0000
```

Properties
- Symmetry: Fd-3m
- N(E_F): 0.53 states/eV/f.u.

***

Result of the stability comparison: (ii) is the least stable of them.

***

(i)
Compound: NaNb2O4
Source: the Alexandria database
Functional: meta-GGA SCAN
Structure: single point on PBEsol structure

Structure (POSCAR):
```
NaNb2O4
1.0
-0.7243 1.2315 2.6159
-1.9446 0.0465 -2.2584
-4.0337 -9.3417 3.2809
Na Nb O
1 2 4
direct
0.0000 0.0000 0.5000
0.6667 0.3333 0.7714
0.3333 0.6667 0.2286
0.3333 0.6667 0.6481
0.6667 0.3333 0.3519
0.6667 0.3333 0.1219
0.3333 0.6667 0.8781
```

Properties
- Symmetry: P-3m1
- N(E_F): 3.65 states/eV/f.u.

***

(ii)
Compound: NaNb2O4
Source: the Alexandria database
Functional: meta-GGA SCAN
Structure: single point on PBEsol structure

Structure (POSCAR):
```
NaNb2O4
1.0
5.1056 0.0000 0.0000
0.0000 5.8998 0.0000
0.0000 0.0000 12.0957
Na Nb O
4 8 16
direct
0.1925 0.7500 0.0036
0.1925 0.2500 0.4964
0.8075 0.7500 0.5036
0.8075 0.2500 0.9964
0.3437 0.0000 0.2500
0.3437 0.5000 0.2500
0.1589 0.7500 0.7473
0.1589 0.2500 0.7527
0.8411 0.7500 0.2473
0.8411 0.2500 0.2527
0.6563 0.0000 0.7500
0.6563 0.5000 0.7500
0.4949 0.7500 0.6472
0.4949 0.2500 0.8528
0.4874 0.7500 0.8506
0.4874 0.2500 0.6494
0.0087 0.4974 0.1468
0.0087 0.0026 0.1468
0.0087 0.9974 0.3532
0.0087 0.5026 0.3532
0.9913 0.4974 0.6468
0.9913 0.9974 0.8532
0.9913 0.5026 0.8532
0.9913 0.0026 0.6468
0.5126 0.2500 0.1494
0.5126 0.7500 0.3506
0.5051 0.7500 0.1472
0.5051 0.2500 0.3528
```

Properties
- Symmetry: Pbcm
- N(E_F): 5.06 states/eV/f.u.

***

Result of the stability comparison: (i) is the least stable of them.

***

(i)
Compound: Na2NiO2
Source: the Alexandria database
Functional: meta-GGA SCAN
Structure: single point on PBEsol structure

Structure (POSCAR):
```
Na2NiO2
1.0
2.8090 0.0000 0.0000
-1.4045 4.9930 0.0000
0.0000 0.0000 8.3061
O Na Ni
4 4 2
direct
0.2199 0.4398 0.9077
0.0221 0.0443 0.0889
0.7801 0.5602 0.4077
0.9779 0.9557 0.5889
0.8969 0.7939 0.8470
0.3501 0.7001 0.1693
0.1031 0.2061 0.3470
0.6499 0.2999 0.6693
0.6222 0.2445 0.0018
0.3778 0.7555 0.5018
```

Properties
- Symmetry: Cmc2_1
- N(E_F): 0.00 states/eV/f.u.

***

(ii)
Compound: Na2NiO2
Source: the Alexandria database
Functional: meta-GGA SCAN
Structure: single point on PBEsol structure

Structure (POSCAR):
```
Na2NiO2
1.0
-4.0383 -1.6132 -0.8051
1.5561 -2.1212 -3.5550
2.2245 -1.9441 4.8846
Ni O Na
1 2 2
direct
0.5000 0.5000 0.0000
0.6764 0.6764 0.3528
0.3236 0.3236 0.6472
0.2500 0.7500 0.5000
0.7500 0.2500 0.5000
```

Properties
- Symmetry: I4/mmm
- N(E_F): 0.00 states/eV/f.u.

***

Result of the stability comparison: (ii) is the least stable of them.

***

(i)
Compound: Na6NiO4
Source: the Alexandria database
Functional: meta-GGA SCAN
Structure: single point on PBEsol structure

Structure (POSCAR):
```
Na6NiO4
1.0
-2.9318 2.9885 -3.2879
-3.2414 -6.0953 -2.6500
-5.2524 0.5425 5.1768
Na Ni O
12 2 8
direct
0.3946 0.5000 0.0000
0.6054 0.0000 0.5000
0.8946 0.5000 0.0000
0.1054 0.0000 0.5000
0.5000 0.2902 0.2902
0.5000 0.2902 0.7098
0.5000 0.7098 0.2902
0.5000 0.7098 0.7098
0.0000 0.7902 0.7902
0.0000 0.7902 0.2098
0.0000 0.2098 0.7902
0.0000 0.2098 0.2098
0.0000 0.5000 0.5000
0.5000 0.0000 0.0000
0.6653 0.2454 0.0000
0.6653 0.7546 0.0000
0.3347 0.0000 0.7546
0.3347 0.0000 0.2454
0.1653 0.5000 0.7454
0.1653 0.5000 0.2546
0.8347 0.7454 0.5000
0.8347 0.2546 0.5000
```

Properties
- Symmetry: P4_2/nmc
- N(E_F): 6.48 states/eV/f.u.

***

(ii)
Compound: Na6NiO4
Source: the Alexandria database
Functional: meta-GGA SCAN
Structure: single point on PBEsol structure

Structure (POSCAR):
```
Na6NiO4
1.0
5.7962 -0.0313 0.0000
0.0457 7.4224 0.0000
-0.0228 -3.7112 6.6609
Na Ni O
12 2 8
direct
0.0293 0.1384 0.8537
0.3460 0.4611 0.9220
0.0292 0.7152 0.8535
0.3761 0.0706 0.5407
0.3759 0.4700 0.5406
0.5381 0.8624 0.7250
0.0381 0.1374 0.2750
0.8761 0.5299 0.4593
0.8759 0.9294 0.4594
0.5293 0.2848 0.1463
0.8460 0.5391 0.0780
0.5292 0.8617 0.1465
0.7578 0.3357 0.6713
0.2578 0.6644 0.3287
0.6403 0.2053 0.8232
0.6403 0.6180 0.8235
0.0884 0.3209 0.6414
0.6548 0.1928 0.3858
0.1548 0.8070 0.6142
0.1403 0.3821 0.1768
0.5884 0.6795 0.3586
0.1403 0.7945 0.1765
```

Properties
- Symmetry: Cmc2_1

***

Result of the stability comparison: (i) is the least stable of them.

***

(i)
Compound: NaSr3Ni
Source: the Alexandria database
Functional: meta-GGA SCAN
Structure: single point on PBEsol structure

Structure (POSCAR):
```
NaSr3Ni
1.0
5.8107 0.0000 0.0000
0.0000 5.8107 0.0000
0.0000 0.0000 5.8107
Sr Na Ni
3 1 1
direct
0.0000 0.5000 0.0000
0.0000 0.0000 0.5000
0.5000 0.0000 0.0000
0.5000 0.5000 0.5000
0.0000 0.0000 0.0000
```

Properties
- Symmetry: Pm-3m
- N(E_F): 2.25 states/eV/f.u.

***

(ii)
Compound: NaSr3Ni
Source: the Alexandria database
Functional: meta-GGA SCAN
Structure: single point on PBEsol structure

Structure (POSCAR):
```
NaSr3Ni
1.0
-0.1015 -4.0038 0.9649
4.7706 0.4789 -6.3054
8.9373 1.7806 8.3282
Na Sr Ni
2 6 2
direct
0.4479 0.8958 0.1145
0.5521 0.1042 0.8855
0.1506 0.3011 0.6575
0.8494 0.6989 0.3425
0.3996 0.7992 0.6148
0.1820 0.3641 0.1201
0.8180 0.6359 0.8799
0.6004 0.2008 0.3852
0.2429 0.4857 0.4552
0.7571 0.5143 0.5448
```

Properties
- Symmetry: C2/m
- N(E_F): 3.51 states/eV/f.u.

***

Result of the stability comparison: (i) is the least stable of them.

***

(i)
Compound: NaO2
Source: the Alexandria database
Functional: meta-GGA SCAN
Structure: single point on PBEsol structure

Structure (POSCAR):
```
NaO2
1.0
-3.7595 -1.3715 -1.0587
-0.2405 -2.0918 3.5641
-1.9172 3.6855 2.0337
Na O
2 4
direct
0.5000 0.5000 0.5000
0.0000 0.0000 0.0000
0.1143 0.8857 0.5000
0.8857 0.1143 0.5000
0.3857 0.3857 0.0000
0.6143 0.6143 0.0000
```

Properties
- Symmetry: P4_2/mnm
- N(E_F): 2.31 states/eV/f.u.

***

(ii)
Compound: NaO2
Source: the Alexandria database
Functional: meta-GGA SCAN
Structure: single point on PBEsol structure

Structure (POSCAR):
```
NaO2
1.0
4.9857 0.0000 0.0000
0.0000 6.2477 0.0000
0.0000 0.0000 9.1190
Na O
8 16
direct
0.2498 0.7500 0.6293
0.7498 0.7500 0.3707
0.7502 0.2500 0.8707
0.2502 0.2500 0.1293
0.7502 0.2500 0.3707
0.2502 0.2500 0.6293
0.2498 0.7500 0.1293
0.7498 0.7500 0.8707
0.3029 0.0000 0.9269
0.8029 0.5000 0.0732
0.6971 0.5000 0.5732
0.1971 0.0000 0.4268
0.6971 0.0000 0.0731
0.1971 0.5000 0.9268
0.3029 0.5000 0.4268
0.8029 0.0000 0.5732
0.6056 0.0000 0.6731
0.1056 0.5000 0.3269
0.3944 0.5000 0.8269
0.8944 0.0000 0.1731
0.3944 0.0000 0.3269
0.8944 0.5000 0.6731
0.6056 0.5000 0.1731
0.1056 0.0000 0.8269
```

Properties
- Symmetry: Cmce
- N(E_F): 1.02 states/eV/f.u.

***

Result of the stability comparison: (i) is the least stable of them.